Material: MgAl6Fe6
Method: DFT, PBE-GGA
State: relaxed Values from VASP.

The structure in Quantum ESPRESSO input format:
```
&SYSTEM
  ibrav = 0, nat = 13, ntyp = 3
/
ATOMIC_SPECIES
Mg 24.30 Mg.upf
Al 26.98 Al.upf
Fe 55.84 Fe.upf
ATOMIC_POSITIONS angstrom
Mg 0.000 0.000 0.000
Al 3.102 3.945 5.592
Al 3.822 2.053 3.792
Al 0.780 1.949 4.724
Al 1.542 4.049 2.820
Al 1.889 1.085 1.952
Al 5.035 4.913 7.432
Fe 1.125 3.001 0.524
Fe 3.426 3.001 1.444
Fe 0.036 -0.002 3.248
Fe 2.337 -0.002 4.167
Fe 4.021 4.541 3.294
Fe 2.903 1.457 6.090
CELL_PARAMETERS angstrom
4.602 0.000 1.839
2.249 6.003 1.049
0.072 -0.005 6.495
```

Properties
For the density of states at the Fermi level, the calculation gives 0.53 states/eV/atom. The calculation puts the spin magnetization at 10.40 μB/f.u. Its energy of formation from the pure elements is -0.268 eV per atom. The value obtained for the total energy is -78.3 eV per cell. The space group is Immm (71).